(1)
A plane-wave DFT calculation with GGA-PBEsol was carried out for a geometry-optimized YCr3Sb structure.

abc: 4.8274 4.8274 4.8274
angles: 90.00 90.00 90.00
Each line ends with the local moment (μB).
Fractional coordinates of all 5 atoms:
Y  0.0000  0.0000  0.0000  0.26
Sb  0.5000  0.5000  0.5000  -0.08
Cr  0.0000  0.5000  0.0000  3.27
Cr  0.0000  0.0000  0.5000  3.27
Cr  0.5000  0.0000  0.0000  3.27

Computed properties:
space group	Pm-3m (221)
uncorrected formation energy	1.950	eV/atom

(2)
A plane-wave DFT calculation with GGA-PBEsol was carried out for a geometry-optimized Ca2NbInO6 structure.

abc: 5.5083 5.7331 7.9213
angles: 90.00 90.23 90.00
Fractional coordinates of all 20 atoms:
Ca  0.0159  0.4431  0.2464
Ca  0.9841  0.5569  0.7536
Ca  0.5159  0.0569  0.7464
Ca  0.4841  0.9431  0.2536
Nb  0.0000  0.0000  0.5000
Nb  0.5000  0.5000  0.0000
In  0.5000  0.5000  0.5000
In  0.0000  0.0000  0.0000
O  0.1102  0.9566  0.7400
O  0.8143  0.2890  0.5629
O  0.7944  0.3103  0.9470
O  0.3143  0.2110  0.0629
O  0.8898  0.0434  0.2600
O  0.6102  0.5434  0.2400
O  0.2944  0.1897  0.4470
O  0.7056  0.8103  0.5530
O  0.6857  0.7890  0.9371
O  0.1857  0.7110  0.4371
O  0.2056  0.6897  0.0530
O  0.3898  0.4566  0.7600

Computed properties:
space group	P2_1/c (14)
uncorrected formation energy	-2.616	eV/atom

(3)
A plane-wave DFT calculation with GGA-PBEsol was carried out for a geometry-optimized Co2Au3 structure.

abc: 2.7713 2.7713 11.1011
angles: 82.83 82.83 60.00
Each line ends with the local moment (μB).
Fractional coordinates of all 5 atoms:
Au  0.0000  0.0000  0.0000  0.03
Au  0.2045  0.2045  0.3864  0.01
Au  0.7955  0.7955  0.6136  0.01
Co  0.3979  0.3979  0.8063  1.78
Co  0.6021  0.6021  0.1937  1.78

Computed properties:
space group	R-3m (166)
energy of formation	0.269	eV/atom